Entry 1:
An optimized crystal structure of SmHoNO. Source: Alexandria, functional PBE.

Results
V: 121 Å³/cell
formation energy without anion corrections: -1.8642 eV per atom
Fermi-level density of states: 1.8 states/eV/f.u.
uncorrected energy: -7.51 eV/atom

abc: 3.185 3.193 11.854
angles: 90.00 90.00 90.00
Fractional coordinates of all 8 atoms:
Sm 0.000 0.000 0.000
Sm 0.500 0.500 0.500
Ho 0.000 0.500 0.257
Ho 0.500 0.000 0.757
N 0.000 0.500 0.842
N 0.500 0.000 0.342
O 0.000 0.000 0.603
O 0.500 0.500 0.103

Entry 2:
An optimized crystal structure of TbHoNO. Source: Alexandria, functional PBE.

Results
V: 117 Å³/cell
formation energy without anion corrections: -1.9091 eV per atom
Fermi-level density of states: 1.9 states/eV/f.u.
uncorrected energy: -7.53 eV/atom

abc: 3.151 3.162 11.700
angles: 90.00 90.00 90.00
Fractional coordinates of all 8 atoms:
Tb 0.000 0.000 0.000
Tb 0.500 0.500 0.500
Ho 0.000 0.500 0.242
Ho 0.500 0.000 0.742
N 0.000 0.500 0.653
N 0.500 0.000 0.153
O 0.000 0.000 0.400
O 0.500 0.500 0.900

Entry 3:
An optimized crystal structure of Ho6Tl2NO. Source: Alexandria, functional PBE.

Results
V: 218 Å³/cell
formation energy without anion corrections: -1.1617 eV per atom
Fermi-level density of states: 3.3 states/eV/f.u.
uncorrected energy: -5.71 eV/atom

abc: 6.752 6.752 6.752
angles: 60.00 60.00 60.00
Fractional coordinates of all 10 atoms:
Ho 0.247 0.247 0.753
Ho 0.247 0.753 0.247
Ho 0.247 0.753 0.753
Ho 0.753 0.247 0.247
Ho 0.753 0.247 0.753
Ho 0.753 0.753 0.247
Tl 0.250 0.250 0.250
Tl 0.750 0.750 0.750
N 0.000 0.000 0.000
O 0.500 0.500 0.500

> Among the records above, which one has the highest Fermi-level density of states?

Ho6Tl2NO

> Among the records above, which one has the lowest V?

TbHoNO

> Which of these has the highest formation energy without anion corrections?

Ho6Tl2NO